# TiAl3Ru

A relaxed TiAl3Ru crystal (GGA-PBE, the Alexandria database).

Cell: 4.5853 4.5853 4.5853 Å, 90.00 90.00 90.00°
Element x y z (fractional)
Ti  0.0000  0.0000  0.0000
Al  0.0000  0.5000  0.5000
Al  0.5000  0.0000  0.5000
Al  0.5000  0.5000  0.0000
Ru  0.5000  0.5000  0.5000

***

# TiAlRu2

A relaxed TiAlRu2 crystal (GGA-PBE, the Alexandria database).

Cell: 8.9354 8.9354 8.9354 Å, 154.65 154.65 36.16°
Element x y z (fractional)
Ti  0.0000  0.0000  0.0000
Ti  0.7500  0.2500  0.5000
Al  0.2500  0.7500  0.5000
Al  0.5000  0.5000  0.0000
Ru  0.1686  0.6250  0.0436
Ru  0.3750  0.4186  0.5436
Ru  0.5814  0.1250  0.9564
Ru  0.8750  0.8314  0.4564

***

# Ti2AlRu3

A relaxed Ti2AlRu3 crystal (GGA-PBE, the Alexandria database).

Cell: 3.0677 3.0677 9.0963 Å, 90.00 90.00 90.00°
Element x y z (fractional)
Ti  0.0000  0.0000  0.1727
Ti  0.0000  0.0000  0.8273
Al  0.0000  0.0000  0.5000
Ru  0.5000  0.5000  0.0000
Ru  0.5000  0.5000  0.3351
Ru  0.5000  0.5000  0.6649

***

The records above give, respectively, formation enthalpy at 0 K values of 0.97; 0.56; -4.62 eV/f.u..
The records above give, respectively, density of states at the Fermi level values of 7.14; 7.38; 3.43 states/eV/cell.